Density functional theory data (PBE) for a relaxed structure of LaCe2PrS4.

Output
formation energy from raw total energies	-2068	meV/atom

Cell: 7.0628 4.0732 7.0823 Å, 90.00 109.38 90.00°
Closest atoms and distances in Å follow each position.
Fractional positions:
1 La 0.0000 0.0000 0.0000  6 S 2.92
2 Ce 0.0000 0.5000 0.5000  6 S 2.86-2.87
3 Ce 0.5000 0.0000 0.5000  6 S 2.85
4 Pr 0.5000 0.5000 0.0000  6 S 2.91
5 S 0.2490 0.0000 0.7433  3 Ce 2.85-2.86, 2 Pr 2.91, 1 La 2.92
6 S 0.2538 0.5000 0.2574  3 Ce 2.85-2.87, 1 Pr 2.91, 2 La 2.92
7 S 0.7462 0.5000 0.7426  3 Ce 2.85-2.87, 1 Pr 2.91, 2 La 2.92
8 S 0.7510 0.0000 0.2567  3 Ce 2.85-2.86, 2 Pr 2.91, 1 La 2.92